Here is a geometry-optimized YHfMn structure from the Alexandria database. Energies are from PBE-GGA.

```
12
Lattice="-5.353 -0.703 -3.485 0.676 -3.553 5.602 -3.132 5.303 3.741" Properties=species:S:1:pos:R:3 pbc="T T T"
Mn -4.707 1.846 0.933
Mn -4.461 -3.381 1.608
Mn -3.102 -0.798 4.925
Mn -3.348 4.429 4.250
Hf -2.286 0.828 0.382
Hf -2.846 0.571 7.219
Hf -5.523 0.220 5.476
Hf -4.963 0.477 -1.360
Y -5.146 -0.650 2.111
Y -6.254 2.896 3.098
Y -2.663 1.698 3.748
Y -1.555 -1.848 2.761
```

**Electronic total energy**: -8.404 eV per atom
**Size of the total moment**: 0.4 μB/f.u.
**Density of states at the Fermi level**: 14.5 states/eV/cell
**Volume**: 270.61 Å³/cell
**Formation energy**: 0.4 eV per formula unit
**Theoretical density**: 7912 kg/m³

=====

Here is a geometry-optimized Tb12BiIr6 structure from the Alexandria database. Energies are from PBE-GGA.

```
19
Lattice="-3.714 7.693 1.601 -5.603 -5.089 -4.273 2.195 -3.777 7.514" Properties=species:S:1:pos:R:3 pbc="T T T"
Tb 0.036 -1.267 6.076
Tb -3.483 -0.933 -0.180
Tb -3.639 -0.239 5.022
Tb -7.158 0.094 -1.233
Tb -4.253 -4.409 -0.994
Tb -2.269 1.692 2.241
Tb -4.853 -2.864 2.601
Tb -2.869 3.236 5.836
Tb -4.451 4.248 0.812
Tb -1.327 -1.924 2.752
Tb -5.795 0.751 2.091
Tb -2.671 -5.421 4.030
Bi 0.000 0.000 0.000
Ir -2.273 -2.967 5.033
Ir -4.849 1.794 -0.191
Ir -5.934 -2.017 -0.122
Ir -1.188 0.844 4.965
Ir -4.247 2.933 3.557
Ir -2.875 -4.106 1.285
```

**Electronic total energy**: -6.556 eV per atom
**Size of the total moment**: 0.0 μB/f.u.
**Density of states at the Fermi level**: 10.7 states/eV/cell
**Volume**: 505.48 Å³/cell
**Formation energy**: -12.0 eV per formula unit
**Theoretical density**: 10740 kg/m³

=====

Here is a geometry-optimized MoC2N structure from the Alexandria database. Energies are from PBE-GGA.

```
8
Lattice="-4.177 -0.028 2.076 -0.305 -4.605 -0.677 -0.845 -2.821 3.502" Properties=species:S:1:pos:R:3 pbc="T T T"
Mo 0.000 0.000 0.000
Mo -3.632 -2.583 3.139
C -2.424 -1.296 1.872
C -1.360 -3.590 0.928
C -2.347 -4.334 3.080
C -4.524 -5.689 3.921
N -2.241 -2.317 0.699
N -1.696 -4.871 1.762
```

**Electronic total energy**: -8.111 eV per atom
**Size of the total moment**: 0.0 μB/f.u.
**Density of states at the Fermi level**: 2.8 states/eV/cell
**Volume**: 69.00 Å³/cell
**Theoretical density**: 6448 kg/m³

=====

Here is a geometry-optimized TbNp3Tl3Te8 structure from the Alexandria database. Energies are from PBE-GGA.

```
15
Lattice="-5.673 2.575 -6.331 6.530 -5.698 -1.937 -7.397 -3.351 5.264" Properties=species:S:1:pos:R:3 pbc="T T T"
Tb -3.699 -1.676 2.632
Np -6.535 -0.388 -0.533
Np -3.270 -3.237 -1.502
Np -0.434 -4.525 1.664
Tl 0.000 0.000 0.000
Tl 3.265 -2.849 -0.969
Tl 0.428 -1.561 -4.134
Te -0.182 -3.270 -1.167
Te -6.358 -3.204 -1.837
Te -3.029 -1.978 -4.321
Te -3.512 -4.496 1.317
Te -6.274 0.851 -3.358
Te -0.267 -7.325 0.355
Te -3.456 -0.428 -0.214
Te -3.085 -6.046 -2.790
```

**Electronic total energy**: -5.747 eV per atom
**Size of the total moment**: 11.0 μB/f.u.
**Density of states at the Fermi level**: 27.0 states/eV/cell
**Volume**: 560.77 Å³/cell
**Theoretical density**: 7414 kg/m³

=====

Here is a geometry-optimized BSbO3 structure from the Alexandria database. Energies are from PBE-GGA.

```
20
Lattice="-4.525 -0.972 2.032 -1.249 -0.522 -4.870 -0.047 -13.090 -0.875" Properties=species:S:1:pos:R:3 pbc="T T T"
B -4.596 -5.712 0.003
B -3.174 -2.598 0.881
B -2.645 -11.986 -4.594
B -1.224 -8.872 -3.716
Sb -3.038 -8.854 0.633
Sb -0.967 -2.028 -3.243
Sb -2.782 -5.730 -4.346
Sb -4.853 -12.556 -0.470
O -4.370 -2.207 0.275
O -3.351 -6.096 0.505
O -4.701 -4.855 -1.064
O -2.241 -3.341 0.202
O -4.622 -9.283 -2.265
O -4.186 -2.681 -2.696
O -1.634 -11.903 -1.017
O -1.198 -5.301 -1.449
O -3.578 -11.243 -3.915
O -1.119 -9.729 -2.649
O -2.469 -8.488 -4.218
O -1.449 -12.377 -3.988
```

**Electronic total energy**: -6.948 eV per atom
**Size of the total moment**: 0.0 μB/f.u.
**Density of states at the Fermi level**: 0.0 states/eV/cell
**Volume**: 320.35 Å³/cell
**Theoretical density**: 3744 kg/m³

=====

Here is a geometry-optimized Pr3Ho2Hg3 structure from the Alexandria database. Energies are from PBE-GGA.

```
8
Lattice="3.790 0.000 0.000 0.000 5.505 0.000 -1.895 -2.753 11.276" Properties=species:S:1:pos:R:3 pbc="T T T"
Pr 1.895 2.753 2.769
Pr 0.000 0.000 8.506
Pr 1.895 0.000 0.000
Ho 1.895 0.000 5.278
Ho 0.000 2.753 5.998
Hg 0.000 0.000 2.813
Hg 0.000 2.753 0.000
Hg 1.895 2.753 8.463
```

**Electronic total energy**: -3.403 eV per atom
**Size of the total moment**: 0.8 μB/f.u.
**Density of states at the Fermi level**: 10.1 states/eV/cell
**Volume**: 235.26 Å³/cell
**Formation energy**: -2.8 eV per formula unit
**Theoretical density**: 9559 kg/m³

=====

Here is a geometry-optimized Y3Ho5Tm3 structure from the Alexandria database. Energies are from PBE-GGA.

```
11
Lattice="-4.392 0.722 3.006 -1.562 -9.531 0.008 5.401 4.014 6.927" Properties=species:S:1:pos:R:3 pbc="T T T"
Y 0.226 -3.118 5.877
Y -0.201 1.843 4.061
Y -2.773 -3.159 1.506
Ho 0.884 -0.140 6.124
Ho -1.437 -4.655 3.817
Ho -1.188 -1.088 3.324
Ho 1.787 3.321 6.611
Ho -3.348 -6.667 1.509
Tm 1.701 -2.444 3.073
Tm -0.870 -5.308 0.004
Tm 3.008 2.235 3.858
```

**Electronic total energy**: -4.204 eV per atom
**Size of the total moment**: 0.0 μB/f.u.
**Density of states at the Fermi level**: 17.1 states/eV/cell
**Volume**: 433.83 Å³/cell
**Formation energy**: 9.5 eV per formula unit
**Theoretical density**: 6117 kg/m³

=====

Here is a geometry-optimized Ca3CuPt structure from the Alexandria database. Energies are from PBE-GGA.

```
10
Lattice="-3.999 -1.229 1.268 2.555 -5.301 2.920 0.993 4.731 7.716" Properties=species:S:1:pos:R:3 pbc="T T T"
Ca 1.395 -1.521 6.694
Ca 0.339 2.009 6.782
Ca 1.787 0.342 9.734
Ca -1.847 -0.277 5.210
Ca -2.238 -2.140 2.170
Ca -0.790 -3.807 5.122
Cu -0.546 0.450 2.480
Cu 0.095 -2.249 9.424
Pt -0.893 -0.198 8.294
Pt 0.442 -1.601 3.610
```

**Electronic total energy**: -3.709 eV per atom
**Size of the total moment**: 0.0 μB/f.u.
**Density of states at the Fermi level**: 4.5 states/eV/cell
**Volume**: 261.43 Å³/cell
**Formation energy**: -2.4 eV per formula unit
**Theoretical density**: 4813 kg/m³

=====

> Among the records above, which one has the highest volume?

TbNp3Tl3Te8

=====

Copy entry 4 word for word.
Here is a geometry-optimized TbNp3Tl3Te8 structure from the Alexandria database. Energies are from PBE-GGA.

```
15
Lattice="-5.673 2.575 -6.331 6.530 -5.698 -1.937 -7.397 -3.351 5.264" Properties=species:S:1:pos:R:3 pbc="T T T"
Tb -3.699 -1.676 2.632
Np -6.535 -0.388 -0.533
Np -3.270 -3.237 -1.502
Np -0.434 -4.525 1.664
Tl 0.000 0.000 0.000
Tl 3.265 -2.849 -0.969
Tl 0.428 -1.561 -4.134
Te -0.182 -3.270 -1.167
Te -6.358 -3.204 -1.837
Te -3.029 -1.978 -4.321
Te -3.512 -4.496 1.317
Te -6.274 0.851 -3.358
Te -0.267 -7.325 0.355
Te -3.456 -0.428 -0.214
Te -3.085 -6.046 -2.790
```

**Electronic total energy**: -5.747 eV per atom
**Size of the total moment**: 11.0 μB/f.u.
**Density of states at the Fermi level**: 27.0 states/eV/cell
**Volume**: 560.77 Å³/cell
**Theoretical density**: 7414 kg/m³